Entry 1:
Density functional theory data (GGA-PBE) for a relaxed structure of PrNiB.

abc: 4.231 4.231 4.231
angles: 60.00 60.00 60.00
Element x y z (fractional)
Pr  0.750  0.750  0.750
Ni  0.250  0.250  0.250
B  0.000  0.000  0.000

**Magnetic moment**: 0.03 μB per formula unit
**Electronic total energy**: -5.3815 eV per atom
**Energy relative to the lowest polymorph listed for this composition**: 55.8 kJ/mol of atoms
**Space-group type**: F-43m (216)
**Calculated density**: 6.5 g/cm3


Entry 2:
Density functional theory data (GGA-PBE) for a relaxed structure of NbGaPd2.

abc: 4.467 4.467 4.467
angles: 60.00 60.00 60.00
Element x y z (fractional)
Nb  0.250  0.250  0.250
Ga  0.500  0.500  0.500
Pd  0.750  0.750  0.750
Pd  0.000  0.000  0.000

**Magnetic moment**: 0.00 μB per formula unit
**Electronic total energy**: -6.2229 eV per atom
**Space-group type**: F-43m (216)
**Calculated density**: 9.9 g/cm3


Entry 3:
Density functional theory data (GGA-PBE) for a relaxed structure of LuNbCoCu.

abc: 4.513 4.513 4.513
angles: 60.00 60.00 60.00
Element x y z (fractional)
Nb  0.500  0.500  0.500
Co  0.250  0.250  0.250
Cu  0.750  0.750  0.750
Lu  0.000  0.000  0.000

**Magnetic moment**: 0.03 μB per formula unit
**Electronic total energy**: -6.3612 eV per atom
**Formation energy**: 0.00 eV/atom
**Energy relative to the lowest polymorph listed for this composition**: 0.0 kJ/mol of atoms
**Space-group type**: F-43m (216)
**Calculated density**: 10.0 g/cm3


Entry 4:
Density functional theory data (GGA-PBE) for a relaxed structure of Li4TlCd2Hg.

abc: 4.744 4.744 6.700
angles: 90.00 90.00 90.00
Element x y z (fractional)
Li  0.500  0.000  0.242
Li  0.000  0.000  0.500
Li  0.000  0.500  0.758
Li  0.500  0.500  0.000
Cd  0.500  0.000  0.757
Cd  0.000  0.500  0.243
Tl  0.500  0.500  0.500
Hg  0.000  0.000  0.000

**Electronic total energy**: -1.7748 eV per atom
**Space-group type**: P-4m2 (115)
**Calculated density**: 7.2 g/cm3


Entry 5:
Density functional theory data (GGA-PBE) for a relaxed structure of KNdB4.

abc: 5.824 5.824 5.824
angles: 148.88 94.20 94.05
Element x y z (fractional)
B  0.493  0.756  0.737
B  0.019  0.756  0.263
B  0.507  0.244  0.263
B  0.981  0.244  0.737
Nd  0.500  0.500  0.000
K  0.000  0.000  0.000

**Magnetic moment**: 0.00 μB per formula unit
**Electronic total energy**: -5.3776 eV per atom
**Energy relative to the lowest polymorph listed for this composition**: 0.0 kJ/mol of atoms
**Space-group type**: Immm (71)
**Calculated density**: 3.8 g/cm3


Entry 6:
Density functional theory data (GGA-PBE) for a relaxed structure of Zr4HgBiC2.

abc: 3.409 3.409 14.805
angles: 90.00 90.00 120.00
Element x y z (fractional)
Zr  0.667  0.333  0.832
Zr  0.667  0.333  0.168
Zr  0.333  0.667  0.666
Zr  0.333  0.667  0.334
C  0.000  0.000  0.749
C  0.000  0.000  0.251
Hg  0.667  0.333  0.500
Bi  0.333  0.667  0.000

**Magnetic moment**: 0.00 μB per formula unit
**Electronic total energy**: -7.7414 eV per atom
**Space-group type**: P-6m2 (187)
**Calculated density**: 8.9 g/cm3


Entry 7:
Density functional theory data (GGA-PBE) for a relaxed structure of YGaNiHg.

abc: 4.768 4.768 4.768
angles: 60.00 60.00 60.00
Element x y z (fractional)
Y  0.500  0.500  0.500
Ga  0.000  0.000  0.000
Ni  0.750  0.750  0.750
Hg  0.250  0.250  0.250

**Magnetic moment**: 0.00 μB per formula unit
**Electronic total energy**: -4.0884 eV per atom
**Space-group type**: F-43m (216)
**Calculated density**: 9.1 g/cm3


Entry 8:
Density functional theory data (GGA-PBE) for a relaxed structure of RbSn5Pt3.

abc: 5.561 5.561 8.774
angles: 90.00 90.00 120.00
Element x y z (fractional)
Rb  0.000  0.000  0.000
Pt  0.500  0.000  0.500
Pt  0.500  0.500  0.500
Pt  0.000  0.500  0.500
Sn  0.333  0.667  0.224
Sn  0.333  0.667  0.776
Sn  0.000  0.000  0.500
Sn  0.667  0.333  0.776
Sn  0.667  0.333  0.224

**Magnetic moment**: 0.00 μB per formula unit
**Electronic total energy**: -4.6288 eV per atom
**Space-group type**: P6/mmm (191)
**Calculated density**: 8.9 g/cm3


> The highest calculated density belongs to which entry?

LuNbCoCu